## ZrHg2OsO (PBE-GGA)

Data for a relaxed ZrHg2OsO crystal.

**Energy relative to the elements, uncorrected**: 29 kJ per mole of atoms
**Mass density**: 11.82 g/cm3
**Electronic total energy**: -23.814 eV/cell

abc: 5.1513 3.6971 5.1513
angles: 90.00 90.00 90.00
With the nearest neighbours (Å) after each atom.
Fractional coordinates of all 5 atoms:
Hg1 0.0000 0.0000 0.5000  2 O 2.58
Hg2 0.5000 0.0000 0.0000  2 O 2.58
O1 0.0000 0.0000 0.0000  2 Os 1.85
Zr1 0.5000 0.5000 0.5000  8 Hg 3.17
Os1 0.0000 0.5000 0.0000  2 O 1.85